# CsGa3Br

Crystalline CsGa3Br at its relaxed geometry (PBE, the Alexandria database).

The structure belongs to space group Pm-3m (No. 221); the cell edges are 6.5149, 6.5149 and 6.5149 Å and the angles 90.00°, 90.00° and 90.00°. The distinct sites, in fractional coordinates, are Cs at (0.0000, 0.0000, 0.0000), Ga at (0.0000, 0.0000, 0.5000) and Br at (0.5000, 0.5000, 0.5000).

The calculation puts the uncorrected formation energy at 897 meV/atom. For the volume, the calculation gives 276.5 Å³ per cell. For the energy above the most stable polymorph in this dataset, the calculation gives 728 meV per atom. For the density, the calculation gives 2.5 g/cm³.